Computed, not measured: crystalline NpAsH at its relaxed geometry at the PBE level of DFT.

Results
Density, g cm⁻³: 10.44
Energy above the most stable polymorph in this dataset, meV per atom: 356.4
N(E_F), states/eV per cell: 9.207
Magnetic moment, μB/f.u.: 4.62
Crystal system: tetragonal

a = 3.7023 Å, b = 3.7023 Å, c = 7.2626 Å
α = 90.00°, β = 90.00°, γ = 90.00°
Closest atoms and distances in Å follow each position.
Space group P4/nmm (No. 129, origin choice 2)
Inequivalent atoms, fractional coordinates:
Np: 0.2500 0.2500 0.1751 x2  1 H 2.32
As: 0.2500 0.7500 0.5000 x2  4 As 2.62
H: 0.2500 0.2500 0.8554 x2  1 Np 2.32



Computed, not measured: crystalline Hf4Ga2Pd at its relaxed geometry at the PBE level of DFT.

Results
Density, g cm⁻³: 9.57
DFT formation energy, eV/atom: 0.35
N(E_F), states/eV per cell: 13.347
Magnetic moment, μB/f.u.: 0.00
Crystal system: tetragonal

a = 4.8330 Å, b = 4.8330 Å, c = 14.2642 Å
α = 90.00°, β = 90.00°, γ = 90.00°
Closest atoms and distances in Å follow each position.
Space group I4/mmm (No. 139)
Inequivalent atoms, fractional coordinates:
Hf: 0.0000 0.0000 0.1876 x4  1 Pd 2.68, 1 Ga 2.70
Hf: 0.0000 0.5000 0.0000 x4  2 Pd 2.42
Ga: 0.0000 0.0000 0.3766 x4  5 Hf 2.70-2.99
Pd: 0.0000 0.0000 0.0000 x2  6 Hf 2.42-2.68



Computed, not measured: crystalline Ag2SnAs2 at its relaxed geometry at the PBE level of DFT.

Results
Density, g cm⁻³: 7.24
DFT formation energy, eV/atom: 0.15
Energy above the most stable polymorph in this dataset, meV per atom: 0.8
N(E_F), states/eV per cell: 4.101
Magnetic moment, μB/f.u.: 0.00
Crystal system: tetragonal

a = 4.4351 Å, b = 4.4351 Å, c = 11.2953 Å
α = 90.00°, β = 90.00°, γ = 90.00°
Closest atoms and distances in Å follow each position.
Space group I4/mmm (No. 139)
Inequivalent atoms, fractional coordinates:
Ag: 0.0000 0.5000 0.2500 x4  4 As 2.72
Sn: 0.0000 0.0000 0.0000 x2  8 As 3.38, 8 Ag 3.59
As: 0.0000 0.0000 0.3895 x4  1 As 2.50, 4 Ag 2.72



Computed, not measured: crystalline Er4TlIn at its relaxed geometry at the PBE level of DFT.

Results
Density, g cm⁻³: 9.07
DFT formation energy, eV/atom: -0.04
Energy above the most stable polymorph in this dataset, meV per atom: 53.1
N(E_F), states/eV per cell: 6.085
Magnetic moment, μB/f.u.: 0.00
Crystal system: orthorhombic

a = 3.6635 Å, b = 5.6527 Å, c = 8.7373 Å
α = 90.00°, β = 90.00°, γ = 90.00°
Closest atoms and distances in Å follow each position.
Space group Pmmm (No. 47)
Inequivalent atoms, fractional coordinates:
Er: 0.0000 0.0000 0.2015 x2  2 Tl 3.19, 2 In 3.33, 5 Er 3.47-3.52
Er: 0.5000 0.5000 0.2957 x2  2 In 3.17, 2 Tl 3.34, 4 Er 3.47
Tl: 0.5000 0.0000 0.5000 x1  8 Er 3.19-3.34
In: 0.0000 0.5000 0.0000 x1  8 Er 3.17-3.33



Computed, not measured: crystalline Fe2CuNi2 at its relaxed geometry at the PBE level of DFT.

Results
Density, g cm⁻³: 8.48
DFT formation energy, eV/atom: 0.02
Energy above the most stable polymorph in this dataset, meV per atom: 0.0
N(E_F), states/eV per cell: 8.354
Magnetic moment, μB/f.u.: 6.60
Crystal system: monoclinic

a = 7.8445 Å, b = 3.5965 Å, c = 5.5969 Å
α = 90.00°, β = 133.46°, γ = 90.00°
Closest atoms and distances in Å follow each position.
Space group C2/m (No. 12)
Inequivalent atoms, fractional coordinates:
Fe: 0.2043 0.0000 0.1138 x4  6 Ni 2.48-2.57, 3 Fe 2.51-2.57, 3 Cu 2.53-2.61
Cu: 0.0000 0.0000 0.5000 x2  6 Ni 2.51-2.52, 6 Fe 2.53-2.61
Ni: 0.0961 0.5000 0.2950 x4  6 Fe 2.48-2.57, 3 Cu 2.51-2.52, 3 Ni 2.52-2.59



Computed, not measured: crystalline Cu2BiI6 at its relaxed geometry at the PBE level of DFT.

Results
Density, g cm⁻³: 4.75
Energy above the most stable polymorph in this dataset, meV per atom: 44.0
N(E_F), states/eV per cell: 21.102
Magnetic moment, μB/f.u.: 0.00
Formation energy (no corrections), eV per atom: -0.22
Crystal system: monoclinic

a = 15.1101 Å, b = 13.8087 Å, c = 7.8646 Å
α = 90.00°, β = 110.88°, γ = 90.00°
Closest atoms and distances in Å follow each position.
Space group C2/c (No. 15)
Inequivalent atoms, fractional coordinates:
Cu: 0.2065 0.0743 0.2661 x8  3 I 2.52-2.57
Bi: 0.0000 0.3937 0.2500 x4  4 I 2.94-3.16
I: 0.1160 0.4044 0.6726 x8  1 Cu 2.57
I: 0.1196 0.0110 0.4629 x8  2 Cu 2.52-2.56
I: 0.1428 0.2676 0.1898 x8  1 Cu 2.83, 1 Bi 2.94



Computed, not measured: crystalline AgBr at its relaxed geometry at the PBE level of DFT.

Results
Density, g cm⁻³: 6.72
N(E_F), states/eV per cell: 0.285
Magnetic moment, μB/f.u.: 0.00
Formation energy (no corrections), eV per atom: -0.12
Crystal system: cubic

a = 3.5927 Å, b = 3.5927 Å, c = 3.5927 Å
α = 90.00°, β = 90.00°, γ = 90.00°
Closest atoms and distances in Å follow each position.
Space group Pm-3m (No. 221)
Inequivalent atoms, fractional coordinates:
Ag: 0.0000 0.0000 0.0000 x1  8 Br 3.11
Br: 0.5000 0.5000 0.5000 x1  8 Ag 3.11



Computed, not measured: crystalline TaAgSn2 at its relaxed geometry at the PBE level of DFT.

Results
Density, g cm⁻³: 9.78
DFT formation energy, eV/atom: 0.48
Energy above the most stable polymorph in this dataset, meV per atom: 18.2
N(E_F), states/eV per cell: 7.803
Magnetic moment, μB/f.u.: 0.00
Crystal system: trigonal

a = 3.1425 Å, b = 3.1425 Å, c = 31.3549 Å
α = 90.00°, β = 90.00°, γ = 120.00°
Closest atoms and distances in Å follow each position.
Space group R-3m (No. 166, hexagonal axes)
Inequivalent atoms, fractional coordinates:
Ta: 0.0000 0.0000 0.0000 x3  2 Sn 2.83, 6 Ta 3.14
Ag: 0.0000 0.0000 0.5000 x3  6 Sn 3.00, 6 Ag 3.14
Sn: 0.0000 0.0000 0.0903 x6  1 Ta 2.83, 3 Ag 3.00, 6 Sn 3.14



Computed, not measured: crystalline SrInPb4 at its relaxed geometry at the PBE level of DFT.

Results
Density, g cm⁻³: 9.02
DFT formation energy, eV/atom: -0.21
Energy above the most stable polymorph in this dataset, meV per atom: 0.0
N(E_F), states/eV per cell: 3.121
Magnetic moment, μB/f.u.: 0.00
Crystal system: monoclinic

a = 4.9743 Å, b = 5.1916 Å, c = 7.7391 Å
α = 90.00°, β = 108.25°, γ = 90.00°
Closest atoms and distances in Å follow each position.
Space group Pm (No. 6)
Inequivalent atoms, fractional coordinates:
Sr: 0.0000 0.0000 0.0000 x1  10 Pb 3.52-3.62, 2 In 3.55
In: 0.1659 0.5000 0.3305 x1  10 Pb 3.43-3.60, 2 Sr 3.55
Pb: 0.3226 0.0000 0.6459 x1  8 Pb 3.33-3.65, 2 In 3.48, 2 Sr 3.58-3.62
Pb: 0.4968 0.5000 0.9951 x1  2 In 3.48-3.52, 6 Pb 3.51-3.65, 4 Sr 3.59-3.60
Pb: 0.6719 0.0000 0.3424 x1  6 Pb 3.33-3.64, 2 Sr 3.52-3.56, 4 In 3.60
Pb: 0.8345 0.5000 0.6576 x1  2 In 3.43-3.49, 8 Pb 3.48-3.62, 2 Sr 3.62



Computed, not measured: crystalline Lu2ZrSc at its relaxed geometry at the PBE level of DFT.

Results
Density, g cm⁻³: 7.67
DFT formation energy, eV/atom: 0.06
Energy above the most stable polymorph in this dataset, meV per atom: 0.0
N(E_F), states/eV per cell: 6.140
Magnetic moment, μB/f.u.: 0.00
Crystal system: tetragonal

a = 3.3299 Å, b = 3.3299 Å, c = 9.4925 Å
α = 90.00°, β = 90.00°, γ = 90.00°
Closest atoms and distances in Å follow each position.
Space group P4/mmm (No. 123)
Inequivalent atoms, fractional coordinates:
Lu: 0.0000 0.0000 0.2415 x2  4 Zr 3.29, 4 Lu 3.33, 4 Sc 3.40
Zr: 0.5000 0.5000 0.0000 x1  8 Lu 3.29, 4 Zr 3.33
Sc: 0.5000 0.5000 0.5000 x1  4 Sc 3.33, 8 Lu 3.40



Computed, not measured: crystalline Be2NiAsPt at its relaxed geometry at the PBE level of DFT.

Results
Density, g cm⁻³: 6.75
DFT formation energy, eV/atom: 0.61
N(E_F), states/eV per cell: 4.247
Magnetic moment, μB/f.u.: 0.00
Crystal system: tetragonal

a = 4.2098 Å, b = 4.2098 Å, c = 4.8132 Å
α = 90.00°, β = 90.00°, γ = 90.00°
Closest atoms and distances in Å follow each position.
Space group P4/mmm (No. 123)
Inequivalent atoms, fractional coordinates:
Be: 0.0000 0.5000 0.0000 x2  2 Pt 2.10
Ni: 0.0000 0.0000 0.5000 x1  4 As 2.98, 8 Be 3.20
As: 0.5000 0.5000 0.5000 x1  2 Pt 2.41
Pt: 0.5000 0.5000 0.0000 x1  4 Be 2.10



Computed, not measured: crystalline TiCrCo6 at its relaxed geometry at the PBE level of DFT.

Results
Density, g cm⁻³: 8.59
DFT formation energy, eV/atom: -0.12
N(E_F), states/eV per cell: 59.830
Magnetic moment, μB/f.u.: 0.00
Crystal system: orthorhombic

a = 7.0489 Å, b = 9.9645 Å, c = 9.9869 Å
α = 90.00°, β = 90.00°, γ = 90.00°
Closest atoms and distances in Å follow each position.
Space group Cmmm (No. 65)
Inequivalent atoms, fractional coordinates:
Ti: 0.0000 0.0000 0.2480 x4  12 Co 2.48-2.56
Ti: 0.0000 0.2472 0.0000 x4  12 Co 2.46-2.57
Cr: 0.0000 0.2470 0.5000 x4  12 Co 2.42-2.52
Cr: 0.0000 0.5000 0.2471 x4  12 Co 2.41-2.53
Co: 0.0000 0.0000 0.0000 x2  4 Ti 2.46-2.48, 8 Co 2.54
Co: 0.0000 0.0000 0.5000 x2  2 Cr 2.46, 8 Co 2.51, 2 Ti 2.52
Co: 0.0000 0.2537 0.2575 x8  8 Co 2.42-2.57, 2 Cr 2.42-2.46, 2 Ti 2.53-2.57
Co: 0.0000 0.5000 0.0000 x2  2 Cr 2.47, 8 Co 2.47, 2 Ti 2.52
Co: 0.0000 0.5000 0.5000 x2  8 Co 2.46, 4 Cr 2.52-2.53
Co: 0.2424 0.3768 0.1293 x16  1 Cr 2.41, 8 Co 2.46-2.58, 3 Ti 2.49-2.55
Co: 0.2448 0.3730 0.3790 x16  8 Co 2.42-2.53, 3 Cr 2.45-2.51, 1 Ti 2.56



Computed, not measured: crystalline CrPbS2 at its relaxed geometry at the PBE level of DFT.

Results
Density, g cm⁻³: 5.03
N(E_F), states/eV per cell: 11.797
Magnetic moment, μB/f.u.: 3.98
Formation energy (no corrections), eV per atom: -0.33
Crystal system: tetragonal

a = 6.1701 Å, b = 6.1701 Å, c = 11.2113 Å
α = 90.00°, β = 90.00°, γ = 90.00°
Closest atoms and distances in Å follow each position.
Space group I-42d (No. 122)
Inequivalent atoms, fractional coordinates:
Cr: 0.0000 0.0000 0.0000 x4  4 S 2.35
Pb: 0.0000 0.0000 0.5000 x4  4 S 2.88
S: 0.1773 0.2500 0.1250 x8  2 Cr 2.35



Computed, not measured: crystalline NdSm2Ho3Bi6 at its relaxed geometry at the PBE level of DFT.

Results
Density, g cm⁻³: 9.31
DFT formation energy, eV/atom: -0.88
N(E_F), states/eV per cell: 4.028
Magnetic moment, μB/f.u.: 0.00
Crystal system: monoclinic

a = 19.6850 Å, b = 4.5198 Å, c = 9.0341 Å
α = 90.00°, β = 103.15°, γ = 90.00°
Closest atoms and distances in Å follow each position.
Space group C2/m (No. 12)
Inequivalent atoms, fractional coordinates:
Nd: 0.0000 0.0000 0.0000 x2  6 Bi 3.24
Sm: 0.1670 0.5000 0.3332 x4  6 Bi 3.22
Ho: 0.0000 0.0000 0.5000 x2  6 Bi 3.15-3.17
Ho: 0.1662 0.5000 0.8327 x4  6 Bi 3.16-3.17
Bi: 0.0012 0.5000 0.7439 x4  3 Ho 3.15-3.16, 1 Sm 3.22, 2 Nd 3.24
Bi: 0.1651 0.0000 0.5866 x4  3 Ho 3.17, 3 Sm 3.22
Bi: 0.1691 0.0000 0.0798 x4  3 Ho 3.16-3.17, 2 Sm 3.22, 1 Nd 3.24



Computed, not measured: crystalline Sr2MnVTc at its relaxed geometry at the PBE level of DFT.

Results
Density, g cm⁻³: 4.10
DFT formation energy, eV/atom: 1.18
N(E_F), states/eV per cell: 6.544
Magnetic moment, μB/f.u.: 6.80
Crystal system: tetragonal

a = 5.8987 Å, b = 5.8987 Å, c = 4.4122 Å
α = 90.00°, β = 90.00°, γ = 90.00°
Closest atoms and distances in Å follow each position.
Space group P4/mmm (No. 123)
Inequivalent atoms, fractional coordinates:
Sr: 0.0000 0.5000 0.0000 x2  2 Tc 2.95
Mn: 0.0000 0.0000 0.5000 x1  2 Tc 2.21
V: 0.5000 0.5000 0.5000 x1  8 Sr 3.68
Tc: 0.0000 0.0000 0.0000 x1  2 Mn 2.21



Computed, not measured: crystalline Li2CaAlHg at its relaxed geometry at the PBE level of DFT.

Results
Density, g cm⁻³: 3.70
DFT formation energy, eV/atom: -0.01
N(E_F), states/eV per cell: 2.500
Magnetic moment, μB/f.u.: 0.00
Crystal system: tetragonal

a = 4.9894 Å, b = 4.9894 Å, c = 5.0791 Å
α = 90.00°, β = 90.00°, γ = 90.00°
Closest atoms and distances in Å follow each position.
Space group P4/mmm (No. 123)
Inequivalent atoms, fractional coordinates:
Li: 0.0000 0.5000 0.0000 x2  2 Al 2.49
Ca: 0.0000 0.0000 0.5000 x1  4 Hg 3.53, 8 Li 3.56
Al: 0.5000 0.5000 0.0000 x1  4 Li 2.49, 2 Hg 2.54
Hg: 0.5000 0.5000 0.5000 x1  2 Al 2.54



Computed, not measured: crystalline NaAcSb2Pt2 at its relaxed geometry at the PBE level of DFT.

Results
Density, g cm⁻³: 9.02
N(E_F), states/eV per cell: 5.279
Magnetic moment, μB/f.u.: 0.00
Formation energy (no corrections), eV per atom: -0.77
Crystal system: trigonal

a = 4.5038 Å, b = 4.5038 Å, c = 9.2656 Å
α = 90.00°, β = 90.00°, γ = 120.00°
Closest atoms and distances in Å follow each position.
Space group P-3m1 (No. 164)
Inequivalent atoms, fractional coordinates:
Na: 0.0000 0.0000 0.0000 x1  6 Sb 3.35, 6 Pt 3.66
Ac: 0.0000 0.0000 0.5000 x1  6 Pt 3.31, 6 Sb 3.62
Sb: 0.3333 0.6667 0.7717 x2  3 Pt 2.64
Pt: 0.3333 0.6667 0.2782 x2  3 Sb 2.64